(1)
{"formula": "Cs2RbU2O7", "functional": "PBE", "state": "optimized geometry", "volume_a3_per_cell": 232.0, "n_ef_per_ev_cell": 6.92, "cell": [[-2.1906, 2.1906, 12.0841], [2.1906, -2.1906, 12.0841], [2.1906, 2.1906, -12.0841]], "species": ["Cs", "Cs", "Rb", "U", "U", "O", "O", "O", "O", "O", "O", "O"], "frac_coords": [[0.1903, 0.1903, 0.0000], [0.8097, 0.8097, 0.0000], [0.0000, 0.0000, 0.0000], [0.4103, 0.4103, 0.0000], [0.5897, 0.5897, 0.0000], [0.0890, 0.5890, 0.5000], [0.3287, 0.3287, 0.0000], [0.4110, 0.9110, 0.5000], [0.5000, 0.5000, 0.0000], [0.5890, 0.0890, 0.5000], [0.6713, 0.6713, 0.0000], [0.9110, 0.4110, 0.5000]]}

---

(2)
{"formula": "LaScSb2Te", "functional": "PBE", "state": "optimized geometry", "relative_energy_mev_per_atom": 868, "volume_a3_per_cell": 211.4, "n_ef_per_ev_cell": 8.08, "cell": [[5.9509, 0.0000, 0.0000], [0.0000, 5.9509, 0.0000], [0.0000, 0.0000, 5.9705]], "species": ["La", "Sc", "Sb", "Sb", "Te"], "frac_coords": [[0.0000, 0.0000, 0.0000], [0.5000, 0.5000, 0.5000], [0.0000, 0.5000, 0.0000], [0.5000, 0.0000, 0.0000], [0.0000, 0.0000, 0.5000]]}

---

(3)
{"formula": "NiHW", "functional": "PBE", "state": "optimized geometry", "relative_energy_mev_per_atom": 0, "volume_a3_per_cell": 29.5, "n_ef_per_ev_cell": 1.69, "cell": [[2.7747, 0.0000, 0.0000], [-1.3874, 2.4030, 0.0000], [0.0000, 0.0000, 4.4241]], "species": ["Ni", "H", "W"], "frac_coords": [[0.0000, 0.0000, 0.0000], [0.3333, 0.6667, 0.7744], [0.6667, 0.3333, 0.4824]]}

---

(4)
{"formula": "AlH3Rh3", "functional": "PBE", "state": "optimized geometry", "volume_a3_per_cell": 131.3, "n_ef_per_ev_cell": 7.37, "cell": [[6.2134, 0.0000, 0.0000], [-3.1067, 5.3810, 0.0000], [0.0000, 0.0000, 3.9270]], "species": ["Al", "Al", "H", "H", "H", "H", "H", "H", "Rh", "Rh", "Rh", "Rh", "Rh", "Rh"], "frac_coords": [[0.3333, 0.6667, 0.2500], [0.6667, 0.3333, 0.7500], [0.0609, 0.8219, 0.2500], [0.1781, 0.2389, 0.2500], [0.2389, 0.0609, 0.7500], [0.7611, 0.9391, 0.2500], [0.8219, 0.7611, 0.7500], [0.9391, 0.1781, 0.7500], [0.0952, 0.7224, 0.7500], [0.2776, 0.3727, 0.7500], [0.3727, 0.0952, 0.2500], [0.6273, 0.9048, 0.7500], [0.7224, 0.6273, 0.2500], [0.9048, 0.2776, 0.2500]]}

---

(5)
{"formula": "ZrPaTa2N6", "functional": "PBE", "state": "optimized geometry", "volume_a3_per_cell": 127.5, "n_ef_per_ev_cell": 4.15, "cell": [[2.7763, 1.6029, 4.7749], [-2.7763, 1.6029, 4.7749], [0.0000, -3.2058, 4.7749]], "species": ["Zr", "Pa", "Ta", "Ta", "N", "N", "N", "N", "N", "N"], "frac_coords": [[0.0000, 0.0000, 0.0000], [0.5037, 0.5037, 0.5037], [0.2823, 0.2823, 0.2823], [0.7798, 0.7798, 0.7798], [0.0693, 0.4170, 0.6675], [0.1494, 0.9343, 0.5685], [0.4170, 0.6675, 0.0693], [0.5685, 0.1494, 0.9343], [0.6675, 0.0693, 0.4170], [0.9343, 0.5685, 0.1494]]}

---

(6)
{"formula": "SrIn2Ni2", "functional": "PBE", "state": "optimized geometry", "formation_energy_mev_per_atom": -223, "volume_a3_per_cell": 217.8, "n_ef_per_ev_cell": 5.32, "cell": [[-2.3111, 2.3111, 10.1933], [2.3111, -2.3111, 10.1933], [2.3111, 2.3111, -10.1933]], "species": ["Sr", "Sr", "In", "In", "In", "In", "Ni", "Ni", "Ni", "Ni"], "frac_coords": [[0.1342, 0.1342, 0.0000], [0.8658, 0.8658, 0.0000], [0.0000, 0.5000, 0.5000], [0.3100, 0.3100, 0.0000], [0.5000, 0.0000, 0.5000], [0.6900, 0.6900, 0.0000], [0.2500, 0.7500, 0.5000], [0.4379, 0.4379, 0.0000], [0.5621, 0.5621, 0.0000], [0.7500, 0.2500, 0.5000]]}

---

(7)
{"formula": "ErMgCd", "functional": "PBE", "state": "optimized geometry", "formation_energy_mev_per_atom": -165, "volume_a3_per_cell": 73.7, "n_ef_per_ev_cell": 2.20, "cell": [[-1.7131, 1.7131, 6.2809], [1.7131, -1.7131, 6.2809], [1.7131, 1.7131, -6.2809]], "species": ["Er", "Mg", "Cd"], "frac_coords": [[0.0000, 0.0000, 0.0000], [0.3138, 0.3138, 0.0000], [0.6679, 0.6679, 0.0000]]}

---

(8)
{"formula": "GeBi2Ir", "functional": "PBE", "state": "optimized geometry", "formation_energy_mev_per_atom": 419, "volume_a3_per_cell": 256.4, "n_ef_per_ev_cell": 5.14, "cell": [[-3.1499, 3.1499, 6.4599], [3.1499, -3.1499, 6.4599], [3.1499, 3.1499, -6.4599]], "species": ["Ge", "Ge", "Bi", "Bi", "Bi", "Bi", "Ir", "Ir"], "frac_coords": [[0.0000, 0.0000, 0.0000], [0.7500, 0.2500, 0.5000], [0.1541, 0.6250, 0.0291], [0.3750, 0.4041, 0.5291], [0.5959, 0.1250, 0.9709], [0.8750, 0.8459, 0.4709], [0.2500, 0.7500, 0.5000], [0.5000, 0.5000, 0.0000]]}

---

(9)
{"formula": "TlSbBr3", "functional": "PBE", "state": "optimized geometry", "relative_energy_mev_per_atom": 0, "volume_a3_per_cell": 364.7, "n_ef_per_ev_cell": 1.71, "cell": [[5.0204, 0.0000, 0.0000], [0.8773, 8.0294, 0.0000], [0.0875, 1.2203, 9.0472]], "species": ["Tl", "Tl", "Sb", "Sb", "Br", "Br", "Br", "Br", "Br", "Br"], "frac_coords": [[0.2420, 0.1474, 0.2030], [0.7580, 0.8526, 0.7970], [0.2466, 0.6761, 0.3456], [0.7534, 0.3239, 0.6544], [0.2110, 0.1221, 0.6224], [0.2617, 0.7791, 0.0442], [0.2831, 0.5814, 0.6669], [0.7169, 0.4186, 0.3331], [0.7383, 0.2209, 0.9558], [0.7890, 0.8779, 0.3776]]}

---

(10)
{"formula": "Th2IrS", "functional": "PBE", "state": "optimized geometry", "relative_energy_mev_per_atom": 84, "volume_a3_per_cell": 104.2, "n_ef_per_ev_cell": 3.94, "cell": [[2.0241, 1.1686, 7.3440], [-2.0241, 1.1686, 7.3440], [0.0000, -2.3373, 7.3440]], "species": ["Th", "Th", "Ir", "S"], "frac_coords": [[0.0000, 0.0000, 0.0000], [0.1832, 0.1832, 0.1832], [0.5925, 0.5925, 0.5925], [0.4227, 0.4227, 0.4227]]}

---

(11)
{"formula": "CaAcLaEu", "functional": "PBE", "state": "optimized geometry", "formation_energy_mev_per_atom": 89, "volume_a3_per_cell": 166.5, "n_ef_per_ev_cell": 3.18, "cell": [[0.0000, 4.3665, 4.3665], [4.3665, 0.0000, 4.3665], [4.3665, 4.3665, 0.0000]], "species": ["Ca", "Ac", "La", "Eu"], "frac_coords": [[0.0000, 0.0000, 0.0000], [0.5000, 0.5000, 0.5000], [0.7500, 0.7500, 0.7500], [0.2500, 0.2500, 0.2500]]}

---

(12)
{"formula": "MnZn2Ir2", "functional": "PBE", "state": "optimized geometry", "formation_energy_mev_per_atom": 177, "relative_energy_mev_per_atom": 167, "volume_a3_per_cell": 74.7, "n_ef_per_ev_cell": 2.14, "cell": [[-1.6539, 1.6539, 6.8231], [1.6539, -1.6539, 6.8231], [1.6539, 1.6539, -6.8231]], "species": ["Mn", "Zn", "Zn", "Ir", "Ir"], "frac_coords": [[0.0000, 0.0000, 0.0000], [0.2500, 0.7500, 0.5000], [0.7500, 0.2500, 0.5000], [0.4018, 0.4018, 0.0000], [0.5982, 0.5982, 0.0000]]}

---

(13)
{"formula": "Ce2AuBr2", "functional": "PBE", "state": "optimized geometry", "volume_a3_per_cell": 169.5, "n_ef_per_ev_cell": 14.45, "cell": [[2.1336, 1.2318, 10.7487], [-2.1336, 1.2318, 10.7487], [0.0000, -2.4636, 10.7487]], "species": ["Ce", "Ce", "Au", "Br", "Br"], "frac_coords": [[0.1125, 0.1125, 0.1125], [0.8875, 0.8875, 0.8875], [0.5000, 0.5000, 0.5000], [0.2781, 0.2781, 0.2781], [0.7219, 0.7219, 0.7219]]}

---

(14)
{"formula": "TbThNi", "functional": "PBE", "state": "optimized geometry", "formation_energy_mev_per_atom": -174, "relative_energy_mev_per_atom": 59, "volume_a3_per_cell": 73.7, "n_ef_per_ev_cell": 3.78, "cell": [[-1.7607, 1.7607, 5.9450], [1.7607, -1.7607, 5.9450], [1.7607, 1.7607, -5.9450]], "species": ["Tb", "Th", "Ni"], "frac_coords": [[0.0000, 0.0000, 0.0000], [0.2798, 0.2798, 0.0000], [0.6539, 0.6539, 0.0000]]}

---

(15)
{"formula": "YMnW2", "functional": "PBE", "state": "optimized geometry", "formation_energy_mev_per_atom": 615, "relative_energy_mev_per_atom": 280, "volume_a3_per_cell": 72.2, "n_ef_per_ev_cell": 3.66, "cell": [[-1.9473, 1.9473, 4.7596], [1.9473, -1.9473, 4.7596], [1.9473, 1.9473, -4.7596]], "species": ["Y", "Mn", "W", "W"], "frac_coords": [[0.0000, 0.0000, 0.0000], [0.5000, 0.5000, 0.0000], [0.2500, 0.7500, 0.5000], [0.7500, 0.2500, 0.5000]]}

---

(16)
{"formula": "Sr2InGa2", "functional": "PBE", "state": "optimized geometry", "formation_energy_mev_per_atom": -443, "relative_energy_mev_per_atom": 0, "volume_a3_per_cell": 289.6, "n_ef_per_ev_cell": 6.27, "cell": [[5.8995, -2.3950, 0.0000], [5.8995, 2.3950, 0.0000], [-5.5586, 0.0000, 10.2466]], "species": ["Sr", "Sr", "Sr", "Sr", "In", "In", "Ga", "Ga", "Ga", "Ga"], "frac_coords": [[0.0042, 0.0042, 0.3254], [0.1884, 0.1884, 0.1052], [0.8116, 0.8116, 0.8948], [0.9958, 0.9958, 0.6746], [0.2793, 0.2793, 0.6491], [0.7207, 0.7207, 0.3509], [0.3679, 0.3679, 0.4483], [0.4800, 0.4800, 0.1053], [0.5200, 0.5200, 0.8947], [0.6321, 0.6321, 0.5517]]}

---

(17)
{"formula": "Zn2RePt", "functional": "PBE", "state": "optimized geometry", "formation_energy_mev_per_atom": 193, "relative_energy_mev_per_atom": 266, "volume_a3_per_cell": 58.1, "n_ef_per_ev_cell": 6.86, "cell": [[0.0000, 3.0749, 3.0749], [3.0749, 0.0000, 3.0749], [3.0749, 3.0749, 0.0000]], "species": ["Zn", "Zn", "Re", "Pt"], "frac_coords": [[0.2500, 0.2500, 0.2500], [0.7500, 0.7500, 0.7500], [0.0000, 0.0000, 0.0000], [0.5000, 0.5000, 0.5000]]}

---

(18)
{"formula": "Re2AgHg", "functional": "PBE", "state": "optimized geometry", "formation_energy_mev_per_atom": 842, "volume_a3_per_cell": 67.0, "n_ef_per_ev_cell": 5.14, "cell": [[1.4152, 0.8171, 9.6579], [-1.4152, 0.8171, 9.6579], [0.0000, -1.6341, 9.6579]], "species": ["Re", "Re", "Ag", "Hg"], "frac_coords": [[0.2486, 0.2486, 0.2486], [0.7514, 0.7514, 0.7514], [0.5000, 0.5000, 0.5000], [0.0000, 0.0000, 0.0000]]}

---

(19)
{"formula": "TaBeCdB2", "functional": "PBE", "state": "optimized geometry", "formation_energy_mev_per_atom": 2360, "volume_a3_per_cell": 87.3, "n_ef_per_ev_cell": 2.56, "cell": [[4.0330, 0.0000, 0.0000], [0.0000, 4.0330, 0.0000], [0.0000, 0.0000, 5.3655]], "species": ["Ta", "Be", "Cd", "B", "B"], "frac_coords": [[0.0000, 0.0000, 0.0000], [0.5000, 0.5000, 0.0000], [0.0000, 0.0000, 0.5000], [0.0000, 0.5000, 0.5000], [0.5000, 0.0000, 0.5000]]}

---

(20)
{"formula": "PmErZn4", "functional": "PBE", "state": "optimized geometry", "formation_energy_mev_per_atom": -328, "relative_energy_mev_per_atom": 33, "volume_a3_per_cell": 117.1, "n_ef_per_ev_cell": 1.44, "cell": [[0.0000, 3.8827, 3.8827], [3.8827, 0.0000, 3.8827], [3.8827, 3.8827, 0.0000]], "species": ["Pm", "Er", "Zn", "Zn", "Zn", "Zn"], "frac_coords": [[0.0000, 0.0000, 0.0000], [0.2500, 0.2500, 0.2500], [0.1256, 0.6248, 0.6248], [0.6248, 0.1256, 0.6248], [0.6248, 0.6248, 0.1256], [0.6248, 0.6248, 0.6248]]}

---

It is found that the total energy values, taken in the order of the records, are -7.721, -4.199, -7.247, -5.353, -10.448, -3.967, -2.522, -4.891, -2.833, -8.243, -5.239, -5.711, -4.868, -6.118, -9.770, -2.874, -5.066, -6.170, -3.610, -2.729 eV per atom.